A plane-wave DFT calculation with PBEsol was carried out for Tl2HgRh after structural relaxation.

* electronic total energy: -3.4339 eV/atom
* M_tot: 0.00 Bohr magnetons per cell
* formation energy: 0.058 eV per atom
* energy above the most stable polymorph in this dataset: 0 meV per atom

Cell lengths 3.1279, 4.3884, 7.0979 Å; angles 108.01, 90.00, 90.00 degrees
Last column: nearest neighbours and their distance in Å.
Fractional positions:
Tl 0.0000 0.1237 0.2475  4 Rh 2.70
Tl 0.5000 0.4346 0.8692  1 Rh 2.74
Rh 0.5000 0.6373 0.2747  5 Tl 2.70-2.74, 2 Hg 2.81
Hg 0.0000 0.8099 0.6198  2 Rh 2.81, 2 Hg 3.13


A plane-wave DFT calculation with PBEsol was carried out for CoIr3 after structural relaxation.

* electronic total energy: -9.2553 eV/atom
* M_tot: 1.11 Bohr magnetons per cell
* formation energy: 0.047 eV per atom

Cell lengths 2.6721, 4.5852, 4.5852 Å; angles 109.26, 90.00, 90.00 degrees
Last column: nearest neighbours and their distance in Å.
Fractional positions:
Ir 0.5000 0.0000 0.5000  4 Co 2.65, 8 Ir 2.65-2.67
Ir 0.5000 0.5000 0.0000  8 Ir 2.65-2.67, 4 Co 2.65
Ir 0.0000 0.5000 0.5000  10 Ir 2.65-2.67, 2 Co 2.65
Co 0.0000 0.0000 0.0000  10 Ir 2.65, 2 Co 2.67